No. 1
First-principles (GGA-PBE) data for a relaxed structure of CrInRu2, as listed in Alexandria via LeMat-Bulk.

- Formation energy: 0.270 eV per atom
- V: 122 Å³/cell
- Symmetry: Immm

The structure in POSCAR format:
```
CrInRu2
1.0
2.927 0.000 0.000
0.000 4.663 0.000
0.000 0.000 8.931
Cr In Ru
2 2 4
Cartesian
0.000 0.000 0.000
1.463 2.332 4.465
0.000 0.000 4.465
1.463 2.332 0.000
0.000 2.332 2.462
0.000 2.332 6.469
1.463 0.000 2.003
1.463 0.000 6.928
```

=====

No. 2
First-principles (GGA-PBE) data for a relaxed structure of KTcPt2, as listed in Alexandria via LeMat-Bulk.

- Relative energy among the computed polymorphs: 2.394 eV/f.u.
- Formation energy: 0.681 eV per atom
- V: 159 Å³/cell
- Symmetry: Immm

The structure in POSCAR format:
```
KTcPt2
1.0
2.736 0.000 0.000
0.000 5.445 0.000
0.000 0.000 10.662
K Tc Pt
2 2 4
Cartesian
0.000 0.000 0.000
1.368 2.723 5.331
0.000 0.000 5.331
1.368 2.723 0.000
0.000 2.723 2.228
0.000 2.723 8.434
1.368 0.000 3.103
1.368 0.000 7.559
```

=====

No. 3
First-principles (GGA-PBE) data for a relaxed structure of Ca2GdCd, as listed in Alexandria via LeMat-Bulk.

- Relative energy among the computed polymorphs: 0.144 eV/f.u.
- Formation energy: -0.065 eV per atom
- V: 127 Å³/cell
- Symmetry: P4/mmm

The structure in POSCAR format:
```
Ca2GdCd
1.0
4.886 0.000 0.000
0.000 4.886 0.000
0.000 0.000 5.339
Ca Gd Cd
2 1 1
Cartesian
0.000 2.443 0.000
2.443 0.000 0.000
0.000 0.000 2.669
2.443 2.443 2.669
```

=====

No. 4
First-principles (GGA-PBE) data for a relaxed structure of CuPb5, as listed in Alexandria via LeMat-Bulk.

- Relative energy among the computed polymorphs: 1.942 eV/f.u.
- Formation energy: 0.431 eV per atom
- V: 192 Å³/cell
- Symmetry: F-43m

The structure in POSCAR format:
```
CuPb5
1.0
0.000 4.579 4.579
4.579 0.000 4.579
4.579 4.579 0.000
Cu Pb
1 5
Cartesian
0.000 0.000 0.000
3.432 3.432 3.432
5.726 5.726 3.432
5.726 3.432 5.726
6.869 6.869 6.869
3.432 5.726 5.726
```

=====

No. 5
First-principles (GGA-PBE) data for a relaxed structure of Pr2Tl3VSe6, as listed in Alexandria via LeMat-Bulk.

- V: 348 Å³/cell
- Uncorrected formation energy: -1.04 eV per atom
- Symmetry: C2/m

The structure in POSCAR format:
```
Pr2Tl3VSe6
1.0
3.622 -6.241 0.000
3.622 6.241 0.000
-2.423 0.000 7.707
Pr Tl V Se
2 3 1 6
Cartesian
3.622 4.172 0.000
3.622 -4.172 0.000
-1.212 0.000 3.853
2.410 2.171 3.853
2.410 -2.171 3.853
3.622 0.000 0.000
0.116 1.864 6.164
1.434 0.000 1.625
0.116 -1.864 6.164
4.705 1.864 1.543
3.386 0.000 6.082
4.705 -1.864 1.543
```

=====

No. 6
First-principles (GGA-PBE) data for a relaxed structure of Pm4HoErS8, as listed in Alexandria via LeMat-Bulk.

- V: 388 Å³/cell
- Uncorrected formation energy: -1.92 eV per atom
- Symmetry: R3m

The structure in POSCAR format:
```
Pm4HoErS8
1.0
4.097 2.365 6.672
-4.097 2.365 6.672
0.000 -4.731 6.672
Pm Ho Er S
4 1 1 8
Cartesian
0.000 0.000 0.000
0.000 -2.344 10.852
-2.030 1.172 10.852
2.030 1.172 10.852
0.000 0.000 7.538
0.000 0.000 15.040
0.000 0.000 2.663
0.000 -2.167 5.855
-1.877 1.084 5.855
-1.948 -1.124 9.157
1.877 1.084 5.855
1.948 -1.124 9.157
0.000 2.249 9.157
0.000 0.000 12.467
```

=====

No. 7
First-principles (GGA-PBE) data for a relaxed structure of LiTa3Nb, as listed in Alexandria via LeMat-Bulk.

- Relative energy among the computed polymorphs: 0.000 eV/f.u.
- Formation energy: 1.081 eV per atom
- V: 88 Å³/cell
- Symmetry: Pm-3m

The structure in POSCAR format:
```
LiTa3Nb
1.0
4.443 0.000 0.000
0.000 4.443 0.000
0.000 0.000 4.443
Li Ta Nb
1 3 1
Cartesian
0.000 0.000 0.000
0.000 0.000 2.221
0.000 2.221 0.000
2.221 0.000 0.000
2.221 2.221 2.221
```

=====

No. 8
First-principles (GGA-PBE) data for a relaxed structure of BaNa6, as listed in Alexandria via LeMat-Bulk.

- Relative energy among the computed polymorphs: 1.502 eV/f.u.
- Formation energy: 0.226 eV per atom
- V: 666 Å³/cell
- Symmetry: Im-3m

The structure in POSCAR format:
```
BaNa6
1.0
8.734 0.000 0.000
0.000 8.734 0.000
0.000 0.000 8.734
Ba Na
2 12
Cartesian
0.000 0.000 0.000
4.367 4.367 4.367
0.000 2.183 4.367
0.000 4.367 2.183
0.000 4.367 6.550
0.000 6.550 4.367
2.183 0.000 4.367
2.183 4.367 0.000
4.367 0.000 2.183
4.367 0.000 6.550
4.367 2.183 0.000
4.367 6.550 0.000
6.550 0.000 4.367
6.550 4.367 0.000
```

=====

No. 9
First-principles (GGA-PBE) data for a relaxed structure of ScCd4Co, as listed in Alexandria via LeMat-Bulk.

- Formation energy: 0.207 eV per atom
- V: 120 Å³/cell
- Symmetry: F-43m

The structure in POSCAR format:
```
ScCd4Co
1.0
0.000 3.918 3.918
3.918 0.000 3.918
3.918 3.918 0.000
Sc Cd Co
1 4 1
Cartesian
0.000 0.000 0.000
4.894 2.942 2.942
2.942 4.894 2.942
2.942 2.942 4.894
4.894 4.894 4.894
1.959 1.959 1.959
```

=====

No. 10
First-principles (GGA-PBE) data for a relaxed structure of LaCuSe2, as listed in Alexandria via LeMat-Bulk.

- V: 357 Å³/cell
- Uncorrected formation energy: -0.99 eV per atom
- Symmetry: Fm-3m

The structure in POSCAR format:
```
LaCuSe2
1.0
7.097 0.000 0.000
0.000 7.097 0.000
0.000 0.000 7.097
La Cu Se
4 4 8
Cartesian
0.000 0.000 0.000
0.000 3.548 3.548
3.548 0.000 3.548
3.548 3.548 0.000
0.000 0.000 3.548
0.000 3.548 0.000
3.548 0.000 0.000
3.548 3.548 3.548
1.774 1.774 1.774
1.774 1.774 5.323
1.774 5.323 1.774
1.774 5.323 5.323
5.323 1.774 1.774
5.323 1.774 5.323
5.323 5.323 1.774
5.323 5.323 5.323
```

=====

No. 11
First-principles (GGA-PBE) data for a relaxed structure of LiPPtO2, as listed in Alexandria via LeMat-Bulk.

- Relative energy among the computed polymorphs: 0.000 eV/f.u.
- V: 77 Å³/cell
- Uncorrected formation energy: 0.03 eV per atom
- Symmetry: P4/mmm

The structure in POSCAR format:
```
LiPPtO2
1.0
3.891 0.000 0.000
0.000 3.891 0.000
0.000 0.000 5.091
Li P Pt O
1 1 1 2
Cartesian
0.000 0.000 0.000
1.946 1.946 0.000
1.946 1.946 2.546
0.000 1.946 2.546
1.946 0.000 2.546
```

=====

No. 12
First-principles (GGA-PBE) data for a relaxed structure of DyBiTe3, as listed in Alexandria via LeMat-Bulk.

- Relative energy among the computed polymorphs: 0.481 eV/f.u.
- V: 413 Å³/cell
- Uncorrected formation energy: -0.71 eV per atom
- Symmetry: P2_1/m

The structure in POSCAR format:
```
DyBiTe3
1.0
7.885 0.000 0.000
0.000 4.420 0.000
-3.239 0.000 11.842
Dy Bi Te
2 2 6
Cartesian
0.416 1.105 5.246
4.231 3.315 6.596
0.165 1.105 10.066
4.482 3.315 1.776
-1.666 1.105 7.559
-1.245 3.315 11.554
2.303 3.315 4.185
2.344 1.105 7.657
5.892 1.105 0.287
6.313 3.315 4.283
```